VASP calculation (PBE) on AlSbI6 after structural relaxation.

Unit cell a=11.405 b=11.405 c=7.781 alpha=108.94 beta=108.94 gamma=74.91
Sites, in units of the cell vectors:
Al 0.188 0.188 0.305
Al 0.812 0.812 0.695
Sb 0.191 0.809 0.000
Sb 0.809 0.191 0.000
I 0.020 0.715 0.589
I 0.124 0.124 0.943
I 0.235 0.594 0.119
I 0.285 0.980 0.411
I 0.340 0.340 0.454
I 0.406 0.765 0.881
I 0.594 0.235 0.119
I 0.660 0.660 0.546
I 0.715 0.020 0.589
I 0.765 0.406 0.881
I 0.876 0.876 0.057
I 0.980 0.285 0.411

Properties
total energy: -2.64 eV/atom
formation energy without anion corrections: -3.94 eV per formula unit
space group: No. 12
size of the total moment: 0.00 μB/f.u.
DOS at the Fermi energy: 0.0 states/eV per cell

=====

VASP calculation (PBE) on AlSbI2 after structural relaxation.

Unit cell a=10.706 b=10.706 c=10.706 alpha=150.47 beta=150.47 gamma=42.25
Sites, in units of the cell vectors:
Al 0.000 0.000 0.000
Al 0.750 0.250 0.500
Sb 0.250 0.750 0.500
Sb 0.500 0.500 0.000
I 0.130 0.625 0.005
I 0.375 0.380 0.505
I 0.620 0.125 0.995
I 0.875 0.870 0.495

Properties
total energy: -2.41 eV/atom
formation energy without anion corrections: 1.32 eV per formula unit
space group: No. 122
polymorph energy (0 for the lowest one): 0 meV per atom
size of the total moment: 0.00 μB/f.u.
DOS at the Fermi energy: 4.8 states/eV per cell

=====

VASP calculation (PBE) on AlSbI2 after structural relaxation.

Unit cell a=5.546 b=5.546 c=5.546 alpha=60.00 beta=60.00 gamma=60.00
Sites, in units of the cell vectors:
Al 0.000 0.000 0.000
Sb 0.500 0.500 0.500
I 0.250 0.250 0.250
I 0.750 0.750 0.750

Properties
total energy: -2.37 eV/atom
formation energy without anion corrections: 1.48 eV per formula unit
space group: No. 225
polymorph energy (0 for the lowest one): 40 meV per atom
size of the total moment: 0.00 μB/f.u.
DOS at the Fermi energy: 4.9 states/eV per cell

=====

VASP calculation (PBE) on AlSb3I after structural relaxation.

Unit cell a=5.370 b=5.370 c=5.370 alpha=90.00 beta=90.00 gamma=90.00
Sites, in units of the cell vectors:
Al 0.000 0.000 0.000
Sb 0.000 0.000 0.500
Sb 0.000 0.500 0.000
Sb 0.500 0.000 0.000
I 0.500 0.500 0.500

Properties
total energy: -3.04 eV/atom
formation energy without anion corrections: 2.46 eV per formula unit
space group: No. 221
polymorph energy (0 for the lowest one): 0 meV per atom
size of the total moment: 0.00 μB/f.u.
DOS at the Fermi energy: 5.5 states/eV per cell

=====

VASP calculation (PBE) on ScAlSb2I after structural relaxation.

Unit cell a=5.530 b=5.530 c=5.762 alpha=90.00 beta=90.00 gamma=90.00
Sites, in units of the cell vectors:
Sc 0.000 0.000 0.000
Al 0.500 0.500 0.500
Sb 0.000 0.500 0.000
Sb 0.500 0.000 0.000
I 0.000 0.000 0.500

Properties
total energy: -3.81 eV/atom
formation energy without anion corrections: 0.80 eV per formula unit
space group: No. 123
polymorph energy (0 for the lowest one): 0 meV per atom
size of the total moment: 0.00 μB/f.u.
DOS at the Fermi energy: 3.9 states/eV per cell

=====

VASP calculation (PBE) on ScAlSb2I after structural relaxation.

Unit cell a=5.253 b=5.253 c=5.526 alpha=90.00 beta=90.00 gamma=90.00
Sites, in units of the cell vectors:
Sc 0.000 0.000 0.000
Al 0.500 0.500 0.500
Sb 0.000 0.500 0.500
Sb 0.500 0.000 0.500
I 0.500 0.500 0.000

Properties
total energy: -3.68 eV/atom
formation energy without anion corrections: 1.49 eV per formula unit
space group: No. 123
polymorph energy (0 for the lowest one): 138 meV per atom
size of the total moment: 0.00 μB/f.u.
DOS at the Fermi energy: 4.2 states/eV per cell

=====

VASP calculation (PBE) on AlSb2SeI after structural relaxation.

Unit cell a=5.416 b=5.416 c=5.198 alpha=90.00 beta=90.00 gamma=90.00
Sites, in units of the cell vectors:
Al 0.000 0.000 0.000
Sb 0.000 0.500 0.000
Sb 0.500 0.000 0.000
Se 0.500 0.500 0.500
I 0.000 0.000 0.500

Properties
total energy: -2.89 eV/atom
formation energy without anion corrections: 2.59 eV per formula unit
space group: No. 123
polymorph energy (0 for the lowest one): 0 meV per atom
size of the total moment: 0.00 μB/f.u.
DOS at the Fermi energy: 4.5 states/eV per cell

=====

VASP calculation (PBE) on AlSnSbI2 after structural relaxation.

Unit cell a=6.108 b=6.108 c=5.887 alpha=90.00 beta=90.00 gamma=90.00
Sites, in units of the cell vectors:
Al 0.000 0.000 0.000
Sn 0.500 0.500 0.500
Sb 0.500 0.500 0.000
I 0.000 0.500 0.500
I 0.500 0.000 0.500

Properties
total energy: -2.60 eV/atom
formation energy without anion corrections: 1.97 eV per formula unit
space group: No. 123
polymorph energy (0 for the lowest one): 194 meV per atom
size of the total moment: 1.60 μB/f.u.
DOS at the Fermi energy: 3.7 states/eV per cell

=====

VASP calculation (PBE) on AlSnSbI2 after structural relaxation.

Unit cell a=5.463 b=5.463 c=5.592 alpha=90.00 beta=90.00 gamma=90.00
Sites, in units of the cell vectors:
Al 0.000 0.000 0.000
Sn 0.500 0.500 0.500
Sb 0.000 0.000 0.500
I 0.000 0.500 0.000
I 0.500 0.000 0.000

Properties
total energy: -2.79 eV/atom
formation energy without anion corrections: 1.00 eV per formula unit
space group: No. 123
polymorph energy (0 for the lowest one): 0 meV per atom
size of the total moment: 0.00 μB/f.u.
DOS at the Fermi energy: 4.1 states/eV per cell

=====

VASP calculation (PBE) on SrAlSb2I after structural relaxation.

Unit cell a=6.238 b=6.238 c=6.275 alpha=90.00 beta=90.00 gamma=90.00
Sites, in units of the cell vectors:
Sr 0.000 0.000 0.000
Al 0.500 0.500 0.500
Sb 0.000 0.500 0.000
Sb 0.500 0.000 0.000
I 0.000 0.000 0.500

Properties
total energy: -2.54 eV/atom
formation energy without anion corrections: 2.50 eV per formula unit
space group: No. 123
polymorph energy (0 for the lowest one): 756 meV per atom
size of the total moment: 1.87 μB/f.u.
DOS at the Fermi energy: 4.6 states/eV per cell

=====

VASP calculation (PBE) on SrAlSb2I after structural relaxation.

Unit cell a=5.274 b=5.274 c=6.114 alpha=90.00 beta=90.00 gamma=90.00
Sites, in units of the cell vectors:
Sr 0.000 0.000 0.000
Al 0.500 0.500 0.500
Sb 0.000 0.500 0.500
Sb 0.500 0.000 0.500
I 0.500 0.500 0.000

Properties
total energy: -3.30 eV/atom
formation energy without anion corrections: -1.27 eV per formula unit
space group: No. 123
polymorph energy (0 for the lowest one): 0 meV per atom
size of the total moment: 0.00 μB/f.u.
DOS at the Fermi energy: 4.2 states/eV per cell

=====

VASP calculation (PBE) on TaAlSb2I after structural relaxation.

Unit cell a=5.336 b=5.336 c=5.854 alpha=90.00 beta=90.00 gamma=90.00
Sites, in units of the cell vectors:
Ta 0.000 0.000 0.000
Al 0.500 0.500 0.500
Sb 0.000 0.500 0.000
Sb 0.500 0.000 0.000
I 0.000 0.000 0.500

Properties
total energy: -4.54 eV/atom
formation energy without anion corrections: 2.69 eV per formula unit
space group: No. 123
polymorph energy (0 for the lowest one): 0 meV per atom
size of the total moment: 0.00 μB/f.u.
DOS at the Fermi energy: 2.8 states/eV per cell

=====

VASP calculation (PBE) on TaAlSb2I after structural relaxation.

Unit cell a=5.184 b=5.184 c=5.340 alpha=90.00 beta=90.00 gamma=90.00
Sites, in units of the cell vectors:
Ta 0.000 0.000 0.000
Al 0.500 0.500 0.500
Sb 0.000 0.500 0.500
Sb 0.500 0.000 0.500
I 0.500 0.500 0.000

Properties
total energy: -3.89 eV/atom
formation energy without anion corrections: 5.93 eV per formula unit
space group: No. 123
polymorph energy (0 for the lowest one): 647 meV per atom
size of the total moment: 2.32 μB/f.u.
DOS at the Fermi energy: 6.0 states/eV per cell

=====

VASP calculation (PBE) on AlSbTeI2 after structural relaxation.

Unit cell a=6.167 b=6.167 c=5.790 alpha=90.00 beta=90.00 gamma=90.00
Sites, in units of the cell vectors:
Al 0.000 0.000 0.000
Sb 0.500 0.500 0.000
Te 0.500 0.500 0.500
I 0.000 0.500 0.500
I 0.500 0.000 0.500

Properties
total energy: -2.29 eV/atom
formation energy without anion corrections: 2.67 eV per formula unit
space group: No. 123
polymorph energy (0 for the lowest one): 330 meV per atom
size of the total moment: 0.00 μB/f.u.
DOS at the Fermi energy: 4.1 states/eV per cell

=====

VASP calculation (PBE) on AlSbTe2I after structural relaxation.

Unit cell a=5.428 b=5.428 c=5.299 alpha=90.00 beta=90.00 gamma=90.00
Sites, in units of the cell vectors:
Al 0.000 0.000 0.000
Sb 0.500 0.500 0.500
Te 0.000 0.500 0.000
Te 0.500 0.000 0.000
I 0.000 0.000 0.500

Properties
total energy: -2.89 eV/atom
formation energy without anion corrections: 1.27 eV per formula unit
space group: No. 123
polymorph energy (0 for the lowest one): 0 meV per atom
size of the total moment: 0.00 μB/f.u.
DOS at the Fermi energy: 4.0 states/eV per cell

=====

VASP calculation (PBE) on AlSbTe2I after structural relaxation.

Unit cell a=5.767 b=5.767 c=6.073 alpha=90.00 beta=90.00 gamma=90.00
Sites, in units of the cell vectors:
Al 0.000 0.000 0.000
Sb 0.500 0.500 0.500
Te 0.000 0.500 0.500
Te 0.500 0.000 0.500
I 0.500 0.500 0.000

Properties
total energy: -2.74 eV/atom
formation energy without anion corrections: 1.98 eV per formula unit
space group: No. 123
polymorph energy (0 for the lowest one): 142 meV per atom
size of the total moment: 0.00 μB/f.u.
DOS at the Fermi energy: 3.9 states/eV per cell

=====

VASP calculation (PBE) on AlSbTeI2 after structural relaxation.

Unit cell a=6.058 b=6.058 c=5.802 alpha=90.00 beta=90.00 gamma=90.00
Sites, in units of the cell vectors:
Al 0.000 0.000 0.000
Sb 0.500 0.500 0.500
Te 0.500 0.500 0.000
I 0.000 0.500 0.500
I 0.500 0.000 0.500

Properties
total energy: -2.59 eV/atom
formation energy without anion corrections: 1.15 eV per formula unit
space group: No. 123
polymorph energy (0 for the lowest one): 25 meV per atom
size of the total moment: 0.00 μB/f.u.
DOS at the Fermi energy: 1.6 states/eV per cell

=====

VASP calculation (PBE) on AlSbTe2I after structural relaxation.

Unit cell a=5.861 b=5.861 c=5.900 alpha=90.00 beta=90.00 gamma=90.00
Sites, in units of the cell vectors:
Al 0.000 0.000 0.000
Sb 0.500 0.500 0.000
Te 0.000 0.500 0.500
Te 0.500 0.000 0.500
I 0.500 0.500 0.500

Properties
total energy: -2.16 eV/atom
formation energy without anion corrections: 4.88 eV per formula unit
space group: No. 123
polymorph energy (0 for the lowest one): 722 meV per atom
size of the total moment: 0.79 μB/f.u.
DOS at the Fermi energy: 5.7 states/eV per cell

=====

VASP calculation (PBE) on AlSbTeI2 after structural relaxation.

Unit cell a=5.314 b=5.314 c=5.872 alpha=90.00 beta=90.00 gamma=90.00
Sites, in units of the cell vectors:
Al 0.000 0.000 0.000
Sb 0.000 0.000 0.500
Te 0.500 0.500 0.500
I 0.000 0.500 0.000
I 0.500 0.000 0.000

Properties
total energy: -2.56 eV/atom
formation energy without anion corrections: 1.29 eV per formula unit
space group: No. 123
polymorph energy (0 for the lowest one): 53 meV per atom
size of the total moment: 0.38 μB/f.u.
DOS at the Fermi energy: 2.8 states/eV per cell

=====

VASP calculation (PBE) on AlSbTe2I after structural relaxation.

Unit cell a=5.288 b=5.288 c=5.654 alpha=90.00 beta=90.00 gamma=90.00
Sites, in units of the cell vectors:
Al 0.000 0.000 0.000
Sb 0.000 0.000 0.500
Te 0.000 0.500 0.000
Te 0.500 0.000 0.000
I 0.500 0.500 0.500

Properties
total energy: -2.83 eV/atom
formation energy without anion corrections: 1.56 eV per formula unit
space group: No. 123
polymorph energy (0 for the lowest one): 58 meV per atom
size of the total moment: 0.00 μB/f.u.
DOS at the Fermi energy: 5.8 states/eV per cell